Entry 1:
Below is a geometry-optimized Tb3PmCo8 structure, with properties calculated at the PBE level.

The formation energy from the elements is -0.152 eV per atom. Its space group is R3m, No. 160.

abc: 8.8359 8.8359 8.8359
angles: 33.53 33.53 33.53
With the nearest neighbours (Å) after each atom.
Fractional positions:
Tb1 0.0000 0.0000 0.0000  12 Co 2.97-2.99, 4 Tb 3.12
Tb2 0.1248 0.1248 0.1248  12 Co 2.99-3.02, 1 Tb 3.12, 3 Pm 3.12
Tb3 0.6249 0.6249 0.6249  12 Co 2.97-2.99, 3 Tb 3.12, 1 Pm 3.13
Pm1 0.4998 0.4998 0.4998  12 Co 2.99-3.01, 4 Tb 3.12-3.13
Co1 0.0593 0.5626 0.5626  6 Co 2.53-2.57
Co2 0.0627 0.0627 0.5646  6 Co 2.54-2.57
Co3 0.0627 0.5646 0.0627  6 Co 2.54-2.57
Co4 0.3125 0.3125 0.3125  6 Co 2.54
Co5 0.5626 0.0593 0.5626  6 Co 2.53-2.57
Co6 0.5626 0.5626 0.0593  6 Co 2.53-2.57
Co7 0.5646 0.0627 0.0627  6 Co 2.54-2.57
Co8 0.8121 0.8121 0.8121  6 Co 2.56-2.57

=====

Entry 2:
Below is a geometry-optimized TmZn9Cd2 structure, with properties calculated at the PBE level.

The formation energy from the elements is -0.105 eV per atom. Its space group is R-3m, No. 166.

abc: 8.9265 8.9265 8.9265
angles: 34.53 34.53 34.53
With the nearest neighbours (Å) after each atom.
Fractional positions:
Tm1 0.0000 0.0000 0.0000  18 Zn 3.06-3.39
Zn1 0.0808 0.5856 0.5856  7 Zn 2.59-2.67
Zn2 0.3329 0.3329 0.3329  6 Zn 2.59-2.63
Zn3 0.4144 0.4144 0.9192  7 Zn 2.59-2.67
Zn4 0.4144 0.9192 0.4144  7 Zn 2.59-2.67
Zn5 0.5000 0.5000 0.5000  6 Zn 2.59
Zn6 0.5856 0.0808 0.5856  7 Zn 2.59-2.67
Zn7 0.5856 0.5856 0.0808  7 Zn 2.59-2.67
Zn8 0.6671 0.6671 0.6671  6 Zn 2.59-2.63
Zn9 0.9192 0.4144 0.4144  7 Zn 2.59-2.67
Cd1 0.1374 0.1374 0.1374  12 Zn 2.97-3.20
Cd2 0.8626 0.8626 0.8626  12 Zn 2.97-3.20

=====

Entry 3:
Below is a geometry-optimized BaHF2 structure, with properties calculated at the PBE level.

The energy above the lowest structure with this stoichiometry is 0 meV/atom. Its space group is P2_1/c, No. 14.

abc: 7.8477 4.9179 8.6770
angles: 90.00 122.65 90.00
With the nearest neighbours (Å) after each atom.
Fractional positions:
Ba1 0.2268 0.1832 0.2374  6 F 2.59-2.80, 2 H 2.62-2.71
Ba2 0.2268 0.3168 0.7374  6 F 2.59-2.80, 2 H 2.62-2.71
Ba3 0.7732 0.6832 0.2626  6 F 2.59-2.80, 2 H 2.62-2.71
Ba4 0.7732 0.8168 0.7626  6 F 2.59-2.80, 2 H 2.62-2.71
H1 0.4981 0.5567 0.4692  1 H 0.76
H2 0.4981 0.9433 0.9692  1 H 0.76
H3 0.5019 0.0567 0.0308  1 H 0.76
H4 0.5019 0.4433 0.5308  1 H 0.76
F1 0.0291 0.7292 0.1404  3 Ba 2.59-2.80
F2 0.0291 0.7708 0.6404  3 Ba 2.59-2.80
F3 0.4240 0.0910 0.6091  1 H 2.07
F4 0.4240 0.4090 0.1091  1 H 2.07
F5 0.5760 0.5910 0.8909  1 H 2.07
F6 0.5760 0.9090 0.3909  1 H 2.07
F7 0.9709 0.2292 0.3596  3 Ba 2.59-2.80
F8 0.9709 0.2708 0.8596  3 Ba 2.59-2.80

=====

Entry 4:
Below is a geometry-optimized Ag2TePb2 structure, with properties calculated at the PBE level.

The value obtained for the formation energy without anion corrections is 0.09 eV per atom. The energy above the lowest structure with this stoichiometry is 74 meV/atom. Its space group is P4/mbm, No. 127.

abc: 9.0331 9.0331 3.2901
angles: 90.00 90.00 90.00
With the nearest neighbours (Å) after each atom.
Fractional positions:
Ag1 0.1093 0.3907 0.0000  1 Ag 2.79, 2 Pb 3.06
Ag2 0.3907 0.8907 0.0000  1 Ag 2.79, 2 Pb 3.06
Ag3 0.6093 0.1093 0.0000  1 Ag 2.79, 2 Pb 3.06
Ag4 0.8907 0.6093 0.0000  1 Ag 2.79, 2 Pb 3.06
Te1 0.0000 0.0000 0.5000  4 Pb 3.29, 2 Te 3.29
Te2 0.5000 0.5000 0.5000  4 Pb 3.29, 2 Te 3.29
Pb1 0.1888 0.6888 0.5000  6 Ag 3.06-3.24, 2 Te 3.29, 2 Pb 3.29
Pb2 0.3112 0.1888 0.5000  6 Ag 3.06-3.24, 2 Te 3.29, 2 Pb 3.29
Pb3 0.6888 0.8112 0.5000  6 Ag 3.06-3.24, 2 Te 3.29, 2 Pb 3.29
Pb4 0.8112 0.3112 0.5000  6 Ag 3.06-3.24, 2 Te 3.29, 2 Pb 3.29

=====

Entry 5:
Below is a geometry-optimized Li2AcYSe4 structure, with properties calculated at the PBE level.

The value obtained for the formation energy without anion corrections is -1.67 eV per atom. Its space group is P2/m, No. 10.

abc: 6.9968 4.2542 7.4019
angles: 90.00 110.72 90.00
With the nearest neighbours (Å) after each atom.
Fractional positions:
Li1 0.0000 0.0000 0.0000  6 Se 2.85
Li2 0.0000 0.5000 0.5000  6 Se 2.98-3.04
Ac1 0.5000 0.0000 0.5000  6 Se 3.06-3.08
Y1 0.5000 0.5000 0.0000  6 Se 2.89-2.93
Se1 0.2370 0.5000 0.2263  3 Li 2.85-3.04, 1 Y 2.89, 2 Ac 3.06
Se2 0.2441 0.0000 0.7633  3 Li 2.85-2.98, 2 Y 2.93, 1 Ac 3.08
Se3 0.7559 0.0000 0.2367  3 Li 2.85-2.98, 2 Y 2.93, 1 Ac 3.08
Se4 0.7630 0.5000 0.7737  3 Li 2.85-3.04, 1 Y 2.89, 2 Ac 3.06

=====

Entry 6:
Below is a geometry-optimized HoH3Rh2 structure, with properties calculated at the PBE level.

The total energy is -5.32 eV per atom. Its space group is C2/m, No. 12.

abc: 7.0192 7.0192 4.4733
angles: 92.00 92.00 33.61
With the nearest neighbours (Å) after each atom.
Fractional positions:
Ho1 0.1029 0.1029 0.2420  5 H 2.20-2.38
Ho2 0.8971 0.8971 0.7580  5 H 2.20-2.38
H1 0.1058 0.1058 0.7397  3 Rh 1.85-2.06
H2 0.2773 0.2773 0.1714  4 Rh 1.89-2.07
H3 0.4523 0.4523 0.6678  2 Rh 1.73-1.83
H4 0.5477 0.5477 0.3322  2 Rh 1.73-1.83
H5 0.7227 0.7227 0.8286  4 Rh 1.89-2.07
H6 0.8942 0.8942 0.2603  3 Rh 1.85-2.06
Rh1 0.2437 0.2437 0.7577  2 H 1.85-1.89
Rh2 0.4200 0.4200 0.2670  2 H 1.73-1.83
Rh3 0.5800 0.5800 0.7330  2 H 1.73-1.83
Rh4 0.7563 0.7563 0.2423  2 H 1.85-1.89

=====

Entry 7:
Below is a geometry-optimized KSbPt2 structure, with properties calculated at the PBE level.

The value obtained for the formation energy without anion corrections is -0.09 eV per atom. The energy above the lowest structure with this stoichiometry is 255 meV/atom. Its space group is Imm2, No. 44.

abc: 6.2135 6.2135 6.2135
angles: 151.97 128.49 59.66
With the nearest neighbours (Å) after each atom.
Fractional positions:
K1 0.0000 0.0000 0.0000  2 K 3.01, 4 Pt 3.09
Sb1 0.7121 0.2121 0.5000  2 Pt 2.68
Pt1 0.2912 0.7912 0.5000  4 Pt 2.77-3.01
Pt2 0.5065 0.5065 0.0000  2 Sb 2.68, 2 Pt 2.77

=====

Entry 8:
Below is a geometry-optimized Zn7AgAu4 structure, with properties calculated at the PBE level.

The formation energy from the elements is -0.116 eV per atom. The energy above the lowest structure with this stoichiometry is 0 meV/atom. Its space group is P-1, No. 2.

abc: 5.0966 5.1446 7.8399
angles: 93.00 97.45 96.74
With the nearest neighbours (Å) after each atom.
Fractional positions:
Zn1 0.0000 0.0000 0.0000  2 Ag 2.57, 2 Zn 2.72, 4 Au 2.77-2.82
Zn2 0.2296 0.4050 0.5609  5 Au 2.64-2.81, 4 Zn 2.72-2.91
Zn3 0.2732 0.8130 0.3469  4 Zn 2.61-2.91, 4 Au 2.71-2.80
Zn4 0.4631 0.2423 0.9134  3 Zn 2.61-2.88, 3 Au 2.66-2.74, 1 Ag 2.88
Zn5 0.5369 0.7577 0.0866  3 Zn 2.61-2.88, 3 Au 2.66-2.74, 1 Ag 2.88
Zn6 0.7268 0.1870 0.6531  4 Zn 2.61-2.91, 4 Au 2.71-2.80
Zn7 0.7704 0.5950 0.4391  5 Au 2.64-2.81, 4 Zn 2.72-2.91
Ag1 0.0000 0.5000 0.0000  4 Zn 2.57-2.88, 2 Au 2.78
Au1 0.1529 0.9159 0.6707  7 Zn 2.68-2.82, 2 Au 2.84-2.97
Au2 0.3711 0.3106 0.2384  7 Zn 2.64-2.80, 1 Ag 2.78, 1 Au 2.84
Au3 0.6289 0.6894 0.7616  7 Zn 2.64-2.80, 1 Ag 2.78, 1 Au 2.84
Au4 0.8471 0.0841 0.3293  7 Zn 2.68-2.82, 2 Au 2.84-2.97

=====

no.,D(E_F) (states/eV/f.u.),total magnetic moment (Bohr magnetons per cell)
1,16.784,7.6
2,3.775,0.0
3,0.000,0.2
4,2.174,0.0
5,0.000,0.0
6,1.648,0.0
7,1.715,0.0
8,2.784,0.0